## Hg3W (PBE)

Data for an optimized crystal structure of Hg3W.

Density   16.15 g/cm³
DOS at the Fermi energy   6.20 states/eV per cell
Final energy   -2.589 eV per atom
Spin magnetization   0.00 μB per formula unit
Formation energy from the elements   0.8757 eV per atom
Distance to the lowest polymorph of the same formula   1.69 eV/f.u.

Cell lengths 9.6439, 9.6439, 9.6439 Å; angles 154.87, 154.87, 35.84 degrees
Atoms (fractional coordinates):
1 W 0.6123 0.6123 0.0000
2 Hg 0.8720 0.8720 0.0000
3 Hg 0.5000 0.0000 0.5000
4 Hg 0.0000 0.5000 0.5000
5 Hg 0.2500 0.7500 0.5000
6 Hg 0.1280 0.1280 0.0000
7 Hg 0.7500 0.2500 0.5000
8 W 0.3877 0.3877 0.0000

***

## CrCuNi2Ru (PBE)

Data for an optimized crystal structure of CrCuNi2Ru.

Density   7.62 g/cm³
DOS at the Fermi energy   8.05 states/eV per cell
Final energy   -5.455 eV per atom
Spin magnetization   0.00 μB per formula unit
Formation energy from the elements   1.4569 eV per atom

Cell lengths 4.1555, 4.2147, 4.1555 Å; angles 90.00, 90.00, 90.00 degrees
Atoms (fractional coordinates):
1 Ru 0.5000 0.5000 0.5000
2 Ni 0.5000 0.0000 0.0000
3 Ni 0.0000 0.0000 0.5000
4 Cu 0.0000 0.0000 0.0000
5 Cr 0.0000 0.5000 0.0000

***

## RbPtBr (PBE)

Data for an optimized crystal structure of RbPtBr.

Density   6.41 g/cm³
DOS at the Fermi energy   0.00 states/eV per cell
Final energy   -3.498 eV per atom
Formation energy from raw total energies   -0.6046 eV/atom
Spin magnetization   0.00 μB per formula unit
Distance to the lowest polymorph of the same formula   0.17 eV/f.u.

Cell lengths 13.4233, 4.2874, 4.2874 Å; angles 106.69, 119.47, 60.53 degrees
Atoms (fractional coordinates):
1 Pt 0.1471 0.8219 0.1781
2 Pt 0.1494 0.1951 0.8049
3 Br 0.2826 0.3493 0.6507
4 Rb 0.4897 0.5134 0.4866
5 Rb 0.8983 0.8046 0.1954
6 Br 0.6834 0.6736 0.3264

***

## BaNd2Mg2In2 (PBE)

Data for an optimized crystal structure of BaNd2Mg2In2.

Density   5.11 g/cm³
DOS at the Fermi energy   3.57 states/eV per cell
Final energy   -3.132 eV per atom
Spin magnetization   0.00 μB per formula unit
Formation energy from the elements   -0.2567 eV per atom

Cell lengths 5.1338, 5.1338, 10.4611 Å; angles 75.80, 75.80, 60.00 degrees
Atoms (fractional coordinates):
1 In 0.7496 0.7496 0.7511
2 Mg 0.5788 0.5788 0.2637
3 Ba 0.0000 0.0000 0.0000
4 Nd 0.1327 0.1327 0.6020
5 Nd 0.8673 0.8673 0.3980
6 In 0.2504 0.2504 0.2489
7 Mg 0.4212 0.4212 0.7363

***

## Sr2AgH6Ru (PBE)

Data for an optimized crystal structure of Sr2AgH6Ru.

Density   4.90 g/cm³
DOS at the Fermi energy   2.48 states/eV per cell
Final energy   -3.921 eV per atom
Spin magnetization   0.00 μB per formula unit

Cell lengths 5.4460, 5.2965, 5.2965 Å; angles 120.00, 90.00, 90.00 degrees
Atoms (fractional coordinates):
1 Ag 0.5000 0.0000 0.0000
2 H 0.8208 0.1584 0.3168
3 H 0.1792 0.3168 0.1584
4 H 0.1792 0.8416 0.1584
5 Sr 0.7843 0.6667 0.3333
6 H 0.1792 0.8416 0.6832
7 H 0.8208 0.1584 0.8416
8 Sr 0.2157 0.3333 0.6667
9 Ru 0.0000 0.0000 0.0000
10 H 0.8208 0.6832 0.8416

***

## ReTeBr2 (PBE)

Data for an optimized crystal structure of ReTeBr2.

Density   8.35 g/cm³
DOS at the Fermi energy   2.27 states/eV per cell
Final energy   -3.328 eV per atom
Formation energy from raw total energies   1.4057 eV/atom
Spin magnetization   2.76 μB per formula unit
Distance to the lowest polymorph of the same formula   5.02 eV/f.u.

Cell lengths 5.1075, 5.1075, 5.1075 Å; angles 60.00, 60.00, 60.00 degrees
Each line ends with the local moment (μB).
Atoms (fractional coordinates):
1 Re 0.5000 0.5000 0.5000  3.09
2 Br 0.7500 0.7500 0.7500  -0.05
3 Te 0.0000 0.0000 0.0000  -0.43
4 Br 0.2500 0.2500 0.2500  -0.05

***

## PmH4Pd5 (PBE)

Data for an optimized crystal structure of PmH4Pd5.

Density   9.52 g/cm³
DOS at the Fermi energy   3.22 states/eV per cell
Final energy   -4.761 eV per atom
Spin magnetization   0.00 μB per formula unit

Cell lengths 4.8096, 5.8508, 8.4415 Å; angles 90.00, 90.00, 90.00 degrees
Atoms (fractional coordinates):
1 H 0.9016 0.5000 0.7809
2 H 0.4472 0.3164 0.0000
3 Pd 0.7541 0.7531 0.3293
4 Pd 0.2332 0.0000 0.5000
5 H 0.4472 0.6836 0.0000
6 Pd 0.7668 0.5000 0.0000
7 H 0.9016 0.5000 0.2191
8 H 0.0984 0.0000 0.2809
9 Pd 0.2459 0.2531 0.8293
10 H 0.0984 0.0000 0.7191
11 Pd 0.7541 0.2469 0.3293
12 H 0.5528 0.1836 0.5000
13 Pm 0.7714 0.0000 0.0000
14 Pd 0.7541 0.7531 0.6707
15 Pm 0.2286 0.5000 0.5000
16 Pd 0.2459 0.7469 0.8293
17 H 0.5528 0.8164 0.5000
18 Pd 0.7541 0.2469 0.6707
19 Pd 0.2459 0.2531 0.1707
20 Pd 0.2459 0.7469 0.1707

***

## CaAl4Hg (PBE)

Data for an optimized crystal structure of CaAl4Hg.

Density   4.60 g/cm³
DOS at the Fermi energy   3.50 states/eV per cell
Final energy   -2.935 eV per atom
Spin magnetization   0.00 μB per formula unit
Formation energy from the elements   -0.0559 eV per atom

Cell lengths 5.6263, 5.6263, 5.6263 Å; angles 60.00, 60.00, 60.00 degrees
Atoms (fractional coordinates):
1 Al 0.3755 0.3755 0.3755
2 Ca 0.7500 0.7500 0.7500
3 Al 0.3755 0.8735 0.3755
4 Hg 0.0000 0.0000 0.0000
5 Al 0.3755 0.3755 0.8735
6 Al 0.8735 0.3755 0.3755

***

## GdPdPtAu (PBE)

Data for an optimized crystal structure of GdPdPtAu.

Density   14.27 g/cm³
DOS at the Fermi energy   1.42 states/eV per cell
Final energy   -7.878 eV per atom
Spin magnetization   7.11 μB per formula unit
Formation energy from the elements   -0.7303 eV per atom

Cell lengths 4.7605, 4.7605, 4.7605 Å; angles 60.00, 60.00, 60.00 degrees
Each line ends with the local moment (μB).
Atoms (fractional coordinates):
1 Gd 0.0000 0.0000 0.0000  -6.99
2 Pt 0.7500 0.7500 0.7500  0.00
3 Au 0.5000 0.5000 0.5000  -0.01
4 Pd 0.2500 0.2500 0.2500  -0.01

***

## CuRe2P (PBE)

Data for an optimized crystal structure of CuRe2P.

Density   12.47 g/cm³
DOS at the Fermi energy   4.33 states/eV per cell
Final energy   -8.140 eV per atom
Spin magnetization   0.00 μB per formula unit
Formation energy from the elements   0.4604 eV per atom

Cell lengths 7.3726, 7.3726, 5.6932 Å; angles 49.65, 49.65, 90.00 degrees
Atoms (fractional coordinates):
1 Cu 0.0000 0.0000 0.0000
2 P 0.2500 0.7500 0.5000
3 P 0.5000 0.5000 0.0000
4 Re 0.2031 0.6250 0.2500
5 Re 0.5469 0.1250 0.2500
6 Re 0.3750 0.4531 0.7500
7 Re 0.8750 0.7969 0.7500
8 Cu 0.7500 0.2500 0.5000

***

## PtSe2IBr (PBE)

Data for an optimized crystal structure of PtSe2IBr.

Density   7.13 g/cm³
DOS at the Fermi energy   5.33 states/eV per cell
Final energy   -2.911 eV per atom
Formation energy from raw total energies   0.3359 eV/atom
Spin magnetization   0.00 μB per formula unit
Distance to the lowest polymorph of the same formula   0.00 eV/f.u.

Cell lengths 5.0403, 5.0403, 5.1356 Å; angles 90.00, 90.00, 90.00 degrees
Atoms (fractional coordinates):
1 Pt 0.0000 0.0000 0.0000
2 I 0.5000 0.5000 0.5000
3 Se 0.5000 0.0000 0.0000
4 Br 0.0000 0.0000 0.5000
5 Se 0.0000 0.5000 0.0000

***

## MgBN2F (PBE)

Data for an optimized crystal structure of MgBN2F.

Density   3.11 g/cm³
DOS at the Fermi energy   0.41 states/eV per cell
Final energy   -5.690 eV per atom
Formation energy from raw total energies   -0.3313 eV/atom
Spin magnetization   0.00 μB per formula unit
Distance to the lowest polymorph of the same formula   0.00 eV/f.u.

Cell lengths 3.1193, 3.1193, 4.5013 Å; angles 90.00, 90.00, 90.00 degrees
Atoms (fractional coordinates):
1 B 0.0000 0.0000 0.0000
2 N 0.0000 0.5000 0.0000
3 Mg 0.5000 0.5000 0.5000
4 F 0.0000 0.0000 0.5000
5 N 0.5000 0.0000 0.0000